PBE-GGA MgGeI2, relaxed; density of states at the Fermi level = 2.63 states/eV per cell; space-group type = Fm-3m, No. 225; total magnetization = 0.0 μB per formula unit; polymorph energy (0 for the lowest one) = 109.4 meV/atom
1.0
0.000 3.824 3.824
3.824 0.000 3.824
3.824 3.824 0.000
I Ge Mg
2 1 1
Direct
0.250 0.250 0.250
0.750 0.750 0.750
0.500 0.500 0.500
0.000 0.000 0.000